(1)
The following is a DFT calculation (PBE-GGA) of a geometry-optimized Nb2Tl structure.

abc: 7.9065 7.9065 7.9065
angles: 90.00 90.00 90.00
Last column: nearest neighbours and their distance in Å.
Space group Fd-3m (No. 227, origin choice 2)
Inequivalent atoms, fractional coordinates:
Nb: 0.0000 0.0000 0.0000 x16  6 Nb 2.80
Tl: 0.1250 0.1250 0.6250 x8  12 Nb 3.28, 4 Tl 3.42

Output
total magnetic moment = 0.004 μB per atom
VASP energy = -7.04 eV per atom


(2)
The following is a DFT calculation (PBE-GGA) of a geometry-optimized HfAlFeHg structure.

abc: 6.5312 6.5312 6.5312
angles: 90.00 90.00 90.00
Last column: nearest neighbours and their distance in Å.
Space group F-43m (No. 216)
Inequivalent atoms, fractional coordinates:
Hf: 0.0000 0.0000 0.0000 x4  4 Hg 2.83, 4 Al 2.83
Al: 0.2500 0.2500 0.2500 x4  4 Hf 2.83, 4 Fe 2.83
Fe: 0.0000 0.0000 0.5000 x4  4 Hg 2.83, 4 Al 2.83
Hg: 0.2500 0.2500 0.7500 x4  4 Hf 2.83, 4 Fe 2.83

Output
E above lowest polymorph = 97 meV/atom
total magnetic moment = 0.512 μB per atom
VASP energy = -5.44 eV per atom


(3)
The following is a DFT calculation (PBE-GGA) of a geometry-optimized CdTePdO structure.

abc: 6.3996 6.4861 8.0785
angles: 90.00 90.00 90.00
Last column: nearest neighbours and their distance in Å.
Space group P2_12_12_1 (No. 19)
Inequivalent atoms, fractional coordinates:
Cd: 0.0200 0.1920 0.3744 x4  2 O 2.21-2.23
Te: 0.0488 0.4636 0.6388 x4  2 Pd 2.69-2.70, 1 Cd 2.77
Pd: 0.1999 0.2530 0.9967 x4  2 O 2.05
O: 0.0486 0.8523 0.3638 x4  2 Pd 2.05, 2 Cd 2.21-2.23

Output
E above lowest polymorph = 70 meV/atom
VASP energy = -3.99 eV per atom


(4)
The following is a DFT calculation (PBE-GGA) of a geometry-optimized LuGaSi2 structure.

abc: 6.7083 6.7083 6.7083
angles: 90.00 90.00 90.00
Last column: nearest neighbours and their distance in Å.
Space group F-43m (No. 216)
Inequivalent atoms, fractional coordinates:
Lu: 0.0000 0.0000 0.0000 x4  4 Si 2.90, 4 Ga 2.90
Ga: 0.2500 0.2500 0.7500 x4  4 Lu 2.90, 4 Si 2.90
Si: 0.0000 0.0000 0.5000 x4  4 Si 2.90, 4 Ga 2.90
Si: 0.2500 0.2500 0.2500 x4  4 Si 2.90, 4 Lu 2.90

Output
total magnetic moment = 0.001 μB per atom
VASP energy = -4.52 eV per atom


(5)
The following is a DFT calculation (PBE-GGA) of a geometry-optimized Ga2Re3 structure.

abc: 11.5319 4.8844 5.4487
angles: 90.00 105.64 90.00
Last column: nearest neighbours and their distance in Å.
Space group Cc (No. 9)
Inequivalent atoms, fractional coordinates:
Ga: 0.0000 0.0920 0.0000 x4  7 Re 2.64-2.80, 5 Ga 2.73-2.87
Ga: 0.1063 0.4052 0.7061 x4  7 Re 2.64-2.80, 5 Ga 2.73-2.88
Re: 0.2061 0.0908 0.4017 x4  7 Re 2.60-2.87, 5 Ga 2.72-2.80
Re: 0.3031 0.4090 0.1035 x4  4 Ga 2.64-2.68, 8 Re 2.70-2.87
Re: 0.4007 0.0895 0.8023 x4  7 Re 2.60-2.86, 5 Ga 2.72-2.80

Output
total magnetic moment = 0.001 μB per atom
VASP energy = -8.58 eV per atom


(6)
The following is a DFT calculation (PBE-GGA) of a geometry-optimized Be2BiPt2 structure.

abc: 3.4785 3.4785 13.1674
angles: 90.00 90.00 90.00
Last column: nearest neighbours and their distance in Å.
Space group I4/mmm (No. 139)
Inequivalent atoms, fractional coordinates:
Be: 0.0000 0.5000 0.2500 x4  4 Pt 2.32, 4 Be 2.46
Bi: 0.0000 0.0000 0.0000 x2  8 Pt 3.02
Pt: 0.0000 0.0000 0.3663 x4  4 Be 2.32

Output
total magnetic moment = 0.000 μB per atom
VASP energy = -5.09 eV per atom


(7)
The following is a DFT calculation (PBE-GGA) of a geometry-optimized Tm4S3N2 structure.

abc: 6.4466 14.4217 3.7501
angles: 90.00 90.00 90.00
Last column: nearest neighbours and their distance in Å.
Space group Pnnm (No. 58)
Inequivalent atoms, fractional coordinates:
Tm: 0.2129 0.0635 0.0000 x4  2 N 2.19-2.20
Tm: 0.2153 0.8448 0.5000 x4  2 N 2.22
S: 0.0000 0.5000 0.0000 x2  6 Tm 2.79-2.89
S: 0.2037 0.2026 0.5000 x4  5 Tm 2.75-2.83
N: 0.1240 0.9161 0.0000 x4  4 Tm 2.19-2.22

Output
E above lowest polymorph = 52 meV/atom
total magnetic moment = 0.001 μB per atom
VASP energy = -7.14 eV per atom


(8)
The following is a DFT calculation (PBE-GGA) of a geometry-optimized SmTa2Os2 structure.

abc: 4.3851 4.3851 10.7967
angles: 90.00 90.00 90.00
Last column: nearest neighbours and their distance in Å.
Space group I4/mmm (No. 139)
Inequivalent atoms, fractional coordinates:
Sm: 0.0000 0.0000 0.0000 x2  8 Os 3.36, 8 Ta 3.48
Ta: 0.0000 0.5000 0.2500 x4  4 Os 2.61
Os: 0.0000 0.0000 0.3811 x4  1 Os 2.57, 4 Ta 2.61

Output
total magnetic moment = 0.000 μB per atom
VASP energy = -10.48 eV per atom


(9)
The following is a DFT calculation (PBE-GGA) of a geometry-optimized Dy2Y5Co2Te2 structure.

abc: 3.8463 15.6943 9.4916
angles: 90.00 90.00 90.00
Last column: nearest neighbours and their distance in Å.
Space group Imm2 (No. 44)
Inequivalent atoms, fractional coordinates:
Dy: 0.0000 0.1862 0.0000 x4  2 Co 2.75
Y: 0.0000 0.1478 0.6487 x4  2 Co 2.83, 2 Te 3.17
Y: 0.0000 0.3673 0.7965 x4  2 Co 2.81, 1 Te 3.14
Y: 0.0000 0.5000 0.3800 x2  3 Te 3.15-3.19
Co: 0.0000 0.2626 0.3104 x4  2 Dy 2.75, 4 Y 2.81-2.83
Te: 0.0000 0.0000 0.1433 x2  6 Y 3.15-3.19, 2 Dy 3.22
Te: 0.0000 0.5000 0.0437 x2  7 Y 3.14-3.19

Output
total magnetic moment = 0.003 μB per atom
VASP energy = -6.25 eV per atom


(10)
The following is a DFT calculation (PBE-GGA) of a geometry-optimized BaMg2TlCd structure.

abc: 4.8285 4.8285 12.9511
angles: 90.00 90.00 90.00
Last column: nearest neighbours and their distance in Å.
Space group I4mm (No. 107)
Inequivalent atoms, fractional coordinates:
Ba: 0.0000 0.0000 0.0000 x2  4 Tl 3.73, 4 Cd 3.74, 8 Mg 4.03-4.05
Mg: 0.0000 0.5000 0.2492 x4  2 Cd 2.96, 2 Tl 2.98
Tl: 0.0000 0.0000 0.3847 x2  4 Mg 2.98, 1 Cd 3.01
Cd: 0.0000 0.0000 0.6170 x2  4 Mg 2.96, 1 Tl 3.01

Output
VASP energy = -1.90 eV per atom